# Ce2MnO (PBE+U, relaxed)
# **M_tot**: 9.3 μB/cell
# **E_tot**: -6.967 eV per atom
data_Ce2MnO
_symmetry_space_group_name_H-M 'R -3 m'
_symmetry_Int_Tables_number 166
_symmetry_space_group_name_Hall '-R 3 2"'
_cell_length_a 3.2198
_cell_length_b 3.2198
_cell_length_c 28.6955
_cell_angle_alpha 90.00
_cell_angle_beta 90.00
_cell_angle_gamma 120.00
loop_
_atom_site_label
_atom_site_type_symbol
_atom_site_fract_x
_atom_site_fract_y
_atom_site_fract_z
Ce1 Ce 0.0000 0.0000 0.1113
Mn1 Mn 0.0000 0.0000 0.0000
O1 O 0.0000 0.0000 0.5000